Record 1
## TeBr3 (GGA-PBE)

Data for a geometry-optimized TeBr3 structure.

```
TeBr3
1.0
7.1858 0.0000 0.0000
-3.4072 6.3371 0.0000
-1.1906 -2.2361 7.2977
Br Te
6 2
direct
0.2473 0.9419 0.3617 Br
0.0712 0.4123 0.8785 Br
0.9279 0.2640 0.3663 Br
0.3906 0.0926 0.8738 Br
0.7638 0.7853 0.8473 Br
0.6232 0.6381 0.3369 Br
0.0416 0.8282 0.6056 Te
0.8106 0.0610 0.6094 Te
```

Calculated values
- VASP energy (eV per atom) = -2.35
- energy above the most stable polymorph in this dataset (kJ/mol of formula units) = 0
- D(E_F) (states/eV/cell) = 0.0
- volume (Å³ per cell) = 332.3
- spin magnetization (μB per cell) = 0.0
- E_form (uncorrected) (eV/atom) = -0.31
- SG = P1, No. 1

=====

Record 2
## TeBr3 (GGA-PBE)

Data for a geometry-optimized TeBr3 structure.

```
TeBr3
1.0
6.9770 -0.0001 0.0004
1.0676 7.1404 0.0000
0.8958 3.2807 6.4486
Br Te
6 2
direct
0.1798 0.7270 0.7250 Br
0.6198 0.0535 0.3512 Br
0.1513 0.3922 0.3763 Br
0.1518 0.1235 0.9828 Br
0.6525 0.3645 0.7377 Br
0.6967 0.7553 0.0131 Br
0.3948 0.3415 0.0937 Te
0.9229 0.0211 0.7651 Te
```

Calculated values
- VASP energy (eV per atom) = -2.32
- energy above the most stable polymorph in this dataset (kJ/mol of formula units) = 11
- volume (Å³ per cell) = 321.3
- spin magnetization (μB per cell) = 0.0
- E_form (uncorrected) (eV/atom) = -0.28
- SG = P1, No. 1

=====

Record 3
## TeBr4 (GGA-PBE)

Data for a geometry-optimized TeBr4 structure.

```
TeBr4
1.0
-3.5666 -4.1286 1.1254
3.8406 -3.7345 -1.5285
1.8873 -0.2027 5.2373
Br Te
4 1
direct
0.5000 0.5000 0.0000 Br
0.0000 0.5000 0.5000 Br
0.0000 0.0000 0.0000 Br
0.5000 0.0000 0.5000 Br
0.5000 0.5000 0.5000 Te
```

Calculated values
- VASP energy (eV per atom) = -1.93
- energy above the most stable polymorph in this dataset (kJ/mol of formula units) = 190
- D(E_F) (states/eV/cell) = 7.9
- volume (Å³ per cell) = 172.9
- spin magnetization (μB per cell) = 0.9
- E_form (uncorrected) (eV/atom) = 0.04
- SG = Pm-3m, No. 221

=====

Record 4
## TeBr2 (GGA-PBE)

Data for a geometry-optimized TeBr2 structure.

```
TeBr2
1.0
-1.7463 1.7463 14.5197
1.7463 -1.7463 14.5197
1.7463 1.7463 -14.5197
Te Br
2 4
direct
0.7500 0.2500 0.5000 Te
0.0000 0.0000 0.0000 Te
0.3192 0.8192 0.5000 Br
0.5692 0.5692 0.0000 Br
0.1808 0.6808 0.5000 Br
0.4308 0.4308 0.0000 Br
```

Calculated values
- VASP energy (eV per atom) = -1.88
- energy above the most stable polymorph in this dataset (kJ/mol of formula units) = 160
- D(E_F) (states/eV/cell) = 5.9
- volume (Å³ per cell) = 177.1
- spin magnetization (μB per cell) = 0.0
- E_form (uncorrected) (eV/atom) = 0.28
- SG = I4_1/amd, No. 141

=====

Record 5
## TeBr3 (GGA-PBE)

Data for a geometry-optimized TeBr3 structure.

```
TeBr3
1.0
-2.6332 -1.9259 -2.9325
2.9604 -4.7345 0.4510
-5.8127 -2.5469 11.4181
Br Te
6 2
direct
0.8339 0.0000 0.3515 Br
0.5000 0.0000 0.0000 Br
0.1661 0.0000 0.6485 Br
0.1661 0.5000 0.1485 Br
0.5000 0.5000 0.5000 Br
0.8339 0.5000 0.8515 Br
0.5000 0.0000 0.5000 Te
0.5000 0.5000 0.0000 Te
```

Calculated values
- VASP energy (eV per atom) = -2.28
- energy above the most stable polymorph in this dataset (kJ/mol of formula units) = 27
- D(E_F) (states/eV/cell) = 1.7
- volume (Å³ per cell) = 312.3
- spin magnetization (μB per cell) = 0.0
- E_form (uncorrected) (eV/atom) = -0.24
- SG = C2/m, No. 12

=====

Record 6
## TeBr2 (GGA-PBE)

Data for a geometry-optimized TeBr2 structure.

```
TeBr2
1.0
1.9827 7.7685 -0.0842
-1.9827 7.7685 -0.0842
0.0000 5.2865 7.8423
Br Te
4 2
direct
0.3680 0.3680 0.2670 Br
0.6320 0.6320 0.7330 Br
0.3670 0.3670 0.7685 Br
0.6330 0.6330 0.2315 Br
0.9995 0.9995 0.7508 Te
0.0005 0.0005 0.2492 Te
```

Calculated values
- VASP energy (eV per atom) = -2.32
- energy above the most stable polymorph in this dataset (kJ/mol of formula units) = 33
- D(E_F) (states/eV/cell) = 0.2
- volume (Å³ per cell) = 243.3
- spin magnetization (μB per cell) = 0.0
- E_form (uncorrected) (eV/atom) = -0.15
- SG = C2/m, No. 12

=====

Question: What is the formula in the third record?
Answer: TeBr4

=====

Copy entry 6 word for word.
## TeBr2 (GGA-PBE)

Data for a geometry-optimized TeBr2 structure.

```
TeBr2
1.0
1.9827 7.7685 -0.0842
-1.9827 7.7685 -0.0842
0.0000 5.2865 7.8423
Br Te
4 2
direct
0.3680 0.3680 0.2670 Br
0.6320 0.6320 0.7330 Br
0.3670 0.3670 0.7685 Br
0.6330 0.6330 0.2315 Br
0.9995 0.9995 0.7508 Te
0.0005 0.0005 0.2492 Te
```

Calculated values
- VASP energy (eV per atom) = -2.32
- energy above the most stable polymorph in this dataset (kJ/mol of formula units) = 33
- D(E_F) (states/eV/cell) = 0.2
- volume (Å³ per cell) = 243.3
- spin magnetization (μB per cell) = 0.0
- E_form (uncorrected) (eV/atom) = -0.15
- SG = C2/m, No. 12